# Dy2NiGe4Ir3 | Alexandria via LeMat-Bulk | PBE-GGA | relaxed
# energy of formation: -0.703 eV/atom
data_Dy2NiGe4Ir3
_symmetry_space_group_name_H-M 'P -4 m 2'
_symmetry_Int_Tables_number 115
_symmetry_space_group_name_Hall 'P -4 -2'
_cell_length_a 4.1729
_cell_length_b 4.1729
_cell_length_c 10.2341
_cell_angle_alpha 90.00
_cell_angle_beta 90.00
_cell_angle_gamma 90.00
loop_
_atom_site_label
_atom_site_type_symbol
_atom_site_fract_x
_atom_site_fract_y
_atom_site_fract_z
Dy1 Dy 0.0000 0.5000 0.2484
Ni1 Ni 0.0000 0.0000 0.5000
Ge1 Ge 0.0000 0.0000 0.0000
Ge2 Ge 0.0000 0.5000 0.6298
Ge3 Ge 0.5000 0.5000 0.0000
Ir1 Ir 0.0000 0.5000 0.8674
Ir2 Ir 0.5000 0.5000 0.5000

# SrAsPt3 | Alexandria via LeMat-Bulk | PBE-GGA | relaxed
# energy of formation: -0.369 eV/atom
# E above lowest polymorph: 1.63 eV per formula unit
data_SrAsPt3
_symmetry_space_group_name_H-M 'P m -3 m'
_symmetry_Int_Tables_number 221
_symmetry_space_group_name_Hall '-P 4 2 3'
_cell_length_a 4.8061
_cell_length_b 4.8061
_cell_length_c 4.8061
_cell_angle_alpha 90.00
_cell_angle_beta 90.00
_cell_angle_gamma 90.00
loop_
_atom_site_label
_atom_site_type_symbol
_atom_site_fract_x
_atom_site_fract_y
_atom_site_fract_z
Sr1 Sr 0.0000 0.0000 0.0000
As1 As 0.5000 0.5000 0.5000
Pt1 Pt 0.0000 0.5000 0.5000

# Pa2Ni3Ge4Ir | Alexandria via LeMat-Bulk | PBE-GGA | relaxed
# energy of formation: -0.614 eV/atom
data_Pa2Ni3Ge4Ir
_symmetry_space_group_name_H-M 'P -4 m 2'
_symmetry_Int_Tables_number 115
_symmetry_space_group_name_Hall 'P -4 -2'
_cell_length_a 4.1636
_cell_length_b 4.1636
_cell_length_c 9.5518
_cell_angle_alpha 90.00
_cell_angle_beta 90.00
_cell_angle_gamma 90.00
loop_
_atom_site_label
_atom_site_type_symbol
_atom_site_fract_x
_atom_site_fract_y
_atom_site_fract_z
Pa1 Pa 0.0000 0.5000 0.2490
Ni1 Ni 0.0000 0.0000 0.0000
Ni2 Ni 0.0000 0.5000 0.6202
Ge1 Ge 0.0000 0.0000 0.5000
Ge2 Ge 0.0000 0.5000 0.8603
Ge3 Ge 0.5000 0.5000 0.5000
Ir1 Ir 0.5000 0.5000 0.0000

# K2Ga10Sn | Alexandria via LeMat-Bulk | PBE-GGA | relaxed
# energy of formation: 0.003 eV/atom
data_K2Ga10Sn
_symmetry_space_group_name_H-M 'P b a m'
_symmetry_Int_Tables_number 55
_symmetry_space_group_name_Hall '-P 2 2ab'
_cell_length_a 8.4119
_cell_length_b 15.1593
_cell_length_c 6.1236
_cell_angle_alpha 90.00
_cell_angle_beta 90.00
_cell_angle_gamma 90.00
loop_
_atom_site_label
_atom_site_type_symbol
_atom_site_fract_x
_atom_site_fract_y
_atom_site_fract_z
K1 K 0.1852 0.1375 0.0000
Ga1 Ga 0.0165 0.3142 0.5000
Ga2 Ga 0.1374 0.9735 0.5000
Ga3 Ga 0.1830 0.7987 0.5000
Ga4 Ga 0.1944 0.3982 0.1985
Sn1 Sn 0.0000 0.5000 0.5000

# La5Pm7 | Alexandria via LeMat-Bulk | PBE-GGA | relaxed
# energy of formation: 0.150 eV/atom
# E above lowest polymorph: 1.72 eV per formula unit
data_La5Pm7
_symmetry_space_group_name_H-M 'C 1 2/m 1'
_symmetry_Int_Tables_number 12
_symmetry_space_group_name_Hall '-C 2y'
_cell_length_a 9.8046
_cell_length_b 6.0194
_cell_length_c 15.1023
_cell_angle_alpha 90.00
_cell_angle_beta 104.90
_cell_angle_gamma 90.00
loop_
_atom_site_label
_atom_site_type_symbol
_atom_site_fract_x
_atom_site_fract_y
_atom_site_fract_z
La1 La 0.0000 0.0000 0.0000
La2 La 0.1259 0.5000 0.7988
La3 La 0.1282 0.0000 0.4365
Pm1 Pm 0.0000 0.5000 0.5000
Pm2 Pm 0.0371 0.0000 0.2151
Pm3 Pm 0.1783 0.5000 0.0846
Pm4 Pm 0.2484 0.0000 0.6725

# DyMg6Cd4 | Alexandria via LeMat-Bulk | PBE-GGA | relaxed
# energy of formation: -0.104 eV/atom
data_DyMg6Cd4
_symmetry_space_group_name_H-M 'P -6 m 2'
_symmetry_Int_Tables_number 187
_symmetry_space_group_name_Hall 'P -6 2'
_cell_length_a 9.5931
_cell_length_b 9.5931
_cell_length_c 3.2537
_cell_angle_alpha 90.00
_cell_angle_beta 90.00
_cell_angle_gamma 120.00
loop_
_atom_site_label
_atom_site_type_symbol
_atom_site_fract_x
_atom_site_fract_y
_atom_site_fract_z
Dy1 Dy 0.0000 0.0000 0.0000
Mg1 Mg 0.1845 0.3690 0.5000
Mg2 Mg 0.5259 0.0517 0.0000
Cd1 Cd 0.3333 0.6667 0.0000
Cd2 Cd 0.3423 0.1711 0.5000

# MnCr3Te | Alexandria via LeMat-Bulk | PBE-GGA | relaxed
# formation energy (no corrections): 4.5 eV/f.u.
# E above lowest polymorph: 0.00 eV per formula unit
data_MnCr3Te
_symmetry_space_group_name_H-M 'P m -3 m'
_symmetry_Int_Tables_number 221
_symmetry_space_group_name_Hall '-P 4 2 3'
_cell_length_a 4.5239
_cell_length_b 4.5239
_cell_length_c 4.5239
_cell_angle_alpha 90.00
_cell_angle_beta 90.00
_cell_angle_gamma 90.00
loop_
_atom_site_label
_atom_site_type_symbol
_atom_site_fract_x
_atom_site_fract_y
_atom_site_fract_z
Mn1 Mn 0.0000 0.0000 0.0000
Cr1 Cr 0.0000 0.0000 0.5000
Te1 Te 0.5000 0.5000 0.5000

# BaNb2S4 | Alexandria via LeMat-Bulk | PBE-GGA | relaxed
# formation energy (no corrections): -8.4 eV/f.u.
# E above lowest polymorph: 0.00 eV per formula unit
data_BaNb2S4
_symmetry_space_group_name_H-M 'C m c m'
_symmetry_Int_Tables_number 63
_symmetry_space_group_name_Hall '-C 2c 2'
_cell_length_a 4.0696
_cell_length_b 11.8051
_cell_length_c 12.4026
_cell_angle_alpha 90.00
_cell_angle_beta 90.00
_cell_angle_gamma 90.00
loop_
_atom_site_label
_atom_site_type_symbol
_atom_site_fract_x
_atom_site_fract_y
_atom_site_fract_z
Ba1 Ba 0.0000 0.1270 0.2500
Nb1 Nb 0.0000 0.3912 0.0547
S1 S 0.0000 0.0000 0.0000
S2 S 0.0000 0.2517 0.5989
S3 S 0.0000 0.4278 0.2500

| no. | calculated density (Mg/m³) | DOS at the Fermi energy (states/eV per atom) |
| --- | --- | --- |
| 1 | 11.66 | 0.64 |
| 2 | 11.19 | 0.85 |
| 3 | 11.24 | 0.66 |
| 4 | 3.80 | 0.38 |
| 5 | 6.59 | 1.57 |
| 6 | 4.85 | 0.42 |
| 7 | 6.07 | 1.24 |
| 8 | 5.03 | 0.35 |